{"formula": "La6PrDyTm2", "functional": "PBE", "state": "relaxed", "lattice_angstrom": [[8.829, 0.000, 1.328], [0.000, 7.253, 0.000], [-2.130, -3.626, 5.258]], "species": ["La", "La", "La", "La", "La", "La", "Pr", "Dy", "Tm", "Tm"], "frac_coords": [[0.441, 0.640, 0.280], [0.199, 0.043, 0.645], [0.801, 0.398, 0.355], [0.199, 0.602, 0.645], [0.801, 0.957, 0.355], [0.559, 0.360, 0.720], [0.000, 0.500, 0.000], [0.500, 0.000, 0.000], [0.164, 0.091, 0.183], [0.836, 0.909, 0.817]], "final_energy_ha_per_atom": -0.169, "total_magnetization_mub_per_cell": 0.0, "space_group": "No. 12"}